No. 1
! BeAl3B | the Alexandria database | PBE | relaxed; values from VASP
! Calculated total energy, eV/atom: -3.85
! Spin magnetization, Bohr magnetons per cell: 0.0
! Offset from the most stable computed form, meV/atom: 0.0
! ΔH_f (0 K), eV per atom: 0.480
&SYSTEM
  ibrav = 0, nat = 5, ntyp = 3
/
ATOMIC_SPECIES
Be 9.01 Be.upf
Al 26.98 Al.upf
B 10.81 B.upf
CELL_PARAMETERS angstrom
4.128 0.000 0.000
0.000 4.128 0.000
0.000 0.000 4.128
ATOMIC_POSITIONS angstrom
Be 0.000 0.000 0.000
Al 0.000 2.064 2.064
Al 2.064 0.000 2.064
Al 2.064 2.064 0.000
B 2.064 2.064 2.064

No. 2
! BeAl2B | the Alexandria database | PBE | relaxed; values from VASP
! Calculated total energy, eV/atom: -4.33
! Spin magnetization, Bohr magnetons per cell: 0.0
! Offset from the most stable computed form, meV/atom: 42.9
! ΔH_f (0 K), eV per atom: 0.142
&SYSTEM
  ibrav = 0, nat = 16, ntyp = 3
/
ATOMIC_SPECIES
Be 9.01 Be.upf
Al 26.98 Al.upf
B 10.81 B.upf
CELL_PARAMETERS angstrom
3.414 0.000 0.000
0.218 5.411 0.000
0.375 0.842 10.679
ATOMIC_POSITIONS angstrom
Be 0.542 1.837 0.526
Be 1.100 4.995 0.620
Be 2.907 1.258 10.059
Be 3.464 4.416 10.153
Al 1.087 2.773 8.821
Al 1.294 5.495 8.429
Al 1.138 3.146 4.232
Al 1.057 0.455 4.345
Al 2.949 5.799 6.334
Al 2.869 3.107 6.447
Al 2.713 0.759 2.250
Al 2.920 3.481 1.858
B 1.210 4.473 6.143
B 1.232 4.659 2.565
B 2.775 1.595 8.114
B 2.797 1.781 4.536

No. 3
! BeAlB2 | the Alexandria database | PBE | relaxed; values from VASP
! Calculated total energy, eV/atom: -5.17
! Spin magnetization, Bohr magnetons per cell: 0.0
! Offset from the most stable computed form, meV/atom: 27.5
! ΔH_f (0 K), eV per atom: 0.036
&SYSTEM
  ibrav = 0, nat = 8, ntyp = 3
/
ATOMIC_SPECIES
Be 9.01 Be.upf
Al 26.98 Al.upf
B 10.81 B.upf
CELL_PARAMETERS angstrom
2.951 0.000 0.000
0.000 5.096 0.000
-1.344 0.000 5.058
ATOMIC_POSITIONS angstrom
Be 0.079 1.274 1.378
Be 1.529 3.822 3.680
Al 0.123 1.274 4.304
Al 1.485 3.822 0.754
B 0.065 2.975 2.491
B 0.065 4.670 2.491
B 1.543 0.427 2.568
B 1.543 2.121 2.568

No. 4
! CsBe4Al4B12O28 | the Alexandria database | PBE | relaxed; values from VASP
! E_form (uncorrected), meV per atom: -2515
! Calculated total energy, eV/atom: -7.61
! Spin magnetization, Bohr magnetons per cell: 0.0
&SYSTEM
  ibrav = 0, nat = 49, ntyp = 5
/
ATOMIC_SPECIES
Cs 132.91 Cs.upf
Be 9.01 Be.upf
Al 26.98 Al.upf
B 10.81 B.upf
O 16.00 O.upf
CELL_PARAMETERS angstrom
7.418 0.000 0.000
0.000 7.418 0.000
0.000 0.000 7.418
ATOMIC_POSITIONS angstrom
Cs 0.000 0.000 0.000
Be 1.930 1.930 5.488
Be 1.930 5.488 1.930
Be 5.488 1.930 1.930
Be 5.488 5.488 5.488
Al 2.673 2.673 2.673
Al 2.673 4.745 4.745
Al 4.745 2.673 4.745
Al 4.745 4.745 2.673
B 0.000 1.851 3.709
B 0.000 3.709 1.851
B 0.000 3.709 5.567
B 0.000 5.567 3.709
B 1.851 0.000 3.709
B 1.851 3.709 0.000
B 3.709 0.000 1.851
B 3.709 0.000 5.567
B 3.709 1.851 0.000
B 3.709 5.567 0.000
B 5.567 0.000 3.709
B 5.567 3.709 0.000
O 0.706 2.686 2.686
O 0.706 4.732 4.732
O 1.017 1.017 4.424
O 1.017 2.994 6.402
O 1.017 4.424 1.017
O 1.017 6.402 2.994
O 2.686 0.706 2.686
O 2.686 2.686 0.706
O 2.686 4.732 6.712
O 2.686 6.712 4.732
O 2.830 2.830 4.588
O 2.830 4.588 2.830
O 2.994 1.017 6.402
O 2.994 6.402 1.017
O 4.424 1.017 1.017
O 4.424 6.402 6.402
O 4.588 2.830 2.830
O 4.588 4.588 4.588
O 4.732 0.706 4.732
O 4.732 2.686 6.712
O 4.732 4.732 0.706
O 4.732 6.712 2.686
O 6.402 1.017 2.994
O 6.402 2.994 1.017
O 6.402 4.424 6.402
O 6.402 6.402 4.424
O 6.712 2.686 4.732
O 6.712 4.732 2.686

No. 5
! BeAl2Fe5B2 | the Alexandria database | PBE | relaxed; values from VASP
! Calculated total energy, eV/atom: -6.99
! Spin magnetization, Bohr magnetons per cell: 9.0
! ΔH_f (0 K), eV per atom: -0.304
&SYSTEM
  ibrav = 0, nat = 20, ntyp = 4
/
ATOMIC_SPECIES
Be 9.01 Be.upf
Al 26.98 Al.upf
Fe 55.84 Fe.upf
B 10.81 B.upf
CELL_PARAMETERS angstrom
8.418 0.000 0.000
0.000 8.418 0.000
0.000 0.000 2.756
ATOMIC_POSITIONS angstrom
Be 0.000 0.000 0.000
Be 4.209 4.209 0.000
Al 1.457 2.752 0.000
Al 2.752 6.961 0.000
Al 5.666 1.457 0.000
Al 6.961 5.666 0.000
Fe 0.000 4.209 1.378
Fe 0.572 6.705 1.378
Fe 1.713 0.572 1.378
Fe 2.496 4.780 1.378
Fe 3.637 2.496 1.378
Fe 4.209 0.000 1.378
Fe 4.780 5.922 1.378
Fe 5.922 3.637 1.378
Fe 6.705 7.846 1.378
Fe 7.846 1.713 1.378
B 1.075 5.284 0.000
B 3.133 1.075 0.000
B 5.284 7.342 0.000
B 7.342 3.133 0.000

No. 6
! KBeAlB2 | the Alexandria database | PBE | relaxed; values from VASP
! Calculated total energy, eV/atom: -3.05
! Spin magnetization, Bohr magnetons per cell: 0.0
! ΔH_f (0 K), eV per atom: 1.333
&SYSTEM
  ibrav = 0, nat = 5, ntyp = 4
/
ATOMIC_SPECIES
K 39.10 K.upf
Be 9.01 Be.upf
Al 26.98 Al.upf
B 10.81 B.upf
CELL_PARAMETERS angstrom
4.099 0.000 0.000
0.000 4.099 0.000
0.000 0.000 4.514
ATOMIC_POSITIONS angstrom
K 0.000 0.000 0.000
Be 2.049 2.049 2.257
Al 2.049 2.049 0.000
B 0.000 2.049 2.257
B 2.049 0.000 2.257

Question: What is the calculated total energy in the third record?
Answer: -5.17 eV/atom

Question: Which value of calculated total energy does entry 6 give?
Answer: -3.05 eV/atom